Below is a relaxed structure of V2In2Si, with properties calculated at the PBE level.

a b c (Å): 6.2901 6.2901 4.4588
angles (deg): 90.00 90.00 90.00
Last column: nearest neighbours and their distance in Å.
Element x y z (fractional)
In1 0.6650 0.8350 0.5000  6 V 2.80-2.96, 1 In 2.94
In2 0.3350 0.1650 0.5000  6 V 2.80-2.96, 1 In 2.94
Si1 0.0000 0.0000 0.0000  4 V 2.42
V1 0.3560 0.8560 0.0000  2 Si 2.42, 1 V 2.56
In3 0.8350 0.3350 0.5000  6 V 2.80-2.96, 1 In 2.94
V2 0.1440 0.3560 0.0000  2 Si 2.42, 1 V 2.56
In4 0.1650 0.6650 0.5000  6 V 2.80-2.96, 1 In 2.94
V3 0.6440 0.1440 0.0000  2 Si 2.42, 1 V 2.56
Si2 0.5000 0.5000 0.0000  4 V 2.42
V4 0.8560 0.6440 0.0000  2 Si 2.42, 1 V 2.56

E_form (uncorrected) = 0.03 eV/atom
VASP energy = -57.980 eV for the cell shown
D(E_F) = 5.9 states/eV per cell
Space-group type = P4/mbm, No. 127

Below is a relaxed structure of Sn6Hg, with properties calculated at the PBE level.

a b c (Å): 7.0589 7.0589 7.0589
angles (deg): 109.47 109.47 109.47
Last column: nearest neighbours and their distance in Å.
Element x y z (fractional)
Sn1 0.5000 0.7500 0.2500  4 Sn 2.88
Hg1 0.0000 0.0000 0.0000  24 Sn 4.56
Sn2 0.5000 0.2500 0.7500  4 Sn 2.88
Sn3 0.2500 0.7500 0.5000  4 Sn 2.88
Sn4 0.7500 0.5000 0.2500  4 Sn 2.88
Sn5 0.2500 0.5000 0.7500  4 Sn 2.88
Sn6 0.7500 0.2500 0.5000  4 Sn 2.88

Formation enthalpy at 0 K = 111 meV/atom
VASP energy = -23.544 eV for the cell shown
D(E_F) = 0.5 states/eV per cell
Space-group type = Im-3m, No. 229

Below is a relaxed structure of UBeB, with properties calculated at the PBE level.

a b c (Å): 2.6345 2.6345 5.4578
angles (deg): 103.97 103.97 90.00
Last column: nearest neighbours and their distance in Å.
Element x y z (fractional)
U1 0.6095 0.6095 0.2191  4 U 2.63, 4 B 2.74, 5 Be 2.90-2.91
B1 0.9135 0.9135 0.8270  4 Be 2.06
Be1 0.3270 0.3270 0.6539  4 B 2.06

Relative energy among the computed polymorphs = 440 meV per atom
Formation enthalpy at 0 K = 359 meV/atom
VASP energy = -20.614 eV for the cell shown
D(E_F) = 2.5 states/eV per cell
Space-group type = I4mm, No. 107

What is the formula in the second record?
Sn6Hg

Look up the VASP energy of the third one.
-20.614 eV for the cell shown

What is the formula in the third record?
UBeB